# 1
## CaVN (GGA-PBE)

Data for an optimized crystal structure of CaVN.

Geometry as CIF:
```
data_CaVN
_chemical_formula_sum 'Ca2 V2 N2'
_space_group_name_H-M_alt 'P 1'
_space_group_IT_number 1
_space_group_name_Hall 'P 1'
_cell_length_a 3.2124
_cell_length_b 3.2119
_cell_length_c 10.8276
_cell_angle_alpha 90.00
_cell_angle_beta 90.00
_cell_angle_gamma 120.00
loop_
_atom_site_label
_atom_site_fract_x
_atom_site_fract_y
_atom_site_fract_z
V1 0.2772 0.5544 0.9037
V2 0.2772 0.5544 0.0963
Ca1 0.6117 0.2234 0.3720
Ca2 0.6117 0.2234 0.6280
N1 0.2783 0.5566 0.5000
N2 0.6106 0.2211 0.0000
```

- Energy relative to the elements, uncorrected: -0.148 eV per atom
- SG: Amm2, No. 38
- N(E_F): 0.665 states/eV per atom
- V: 96.75 Å³/cell

# 2
## CaVN2 (GGA-PBE)

Data for an optimized crystal structure of CaVN2.

Geometry as CIF:
```
data_CaVN2
_chemical_formula_sum 'Ca1 V1 N2'
_space_group_name_H-M_alt 'P 1'
_space_group_IT_number 1
_space_group_name_Hall 'P 1'
_cell_length_a 3.9429
_cell_length_b 3.9429
_cell_length_c 3.9429
_cell_angle_alpha 60.00
_cell_angle_beta 60.00
_cell_angle_gamma 60.00
loop_
_atom_site_label
_atom_site_fract_x
_atom_site_fract_y
_atom_site_fract_z
Ca1 0.0000 0.0000 0.0000
V1 0.5000 0.5000 0.5000
N1 0.7500 0.7500 0.7500
N2 0.2500 0.2500 0.2500
```

- Energy relative to the elements, uncorrected: 0.080 eV per atom
- SG: Fm-3m, No. 225
- N(E_F): 0.633 states/eV per atom
- V: 43.35 Å³/cell

# 3
## Ca7V3N9 (GGA-PBE)

Data for an optimized crystal structure of Ca7V3N9.

Geometry as CIF:
```
data_Ca7V3N9
_chemical_formula_sum 'Ca14 V6 N18'
_space_group_name_H-M_alt 'P 1'
_space_group_IT_number 1
_space_group_name_Hall 'P 1'
_cell_length_a 6.0784
_cell_length_b 9.9978
_cell_length_c 9.0312
_cell_angle_alpha 90.00
_cell_angle_beta 91.50
_cell_angle_gamma 90.00
loop_
_atom_site_label
_atom_site_fract_x
_atom_site_fract_y
_atom_site_fract_z
N1 0.2314 0.5956 0.0221
N2 0.7744 0.2500 0.2690
N3 0.7686 0.4044 0.9779
N4 0.6367 0.8953 0.6228
N5 0.3633 0.1047 0.3772
N6 0.4583 0.7500 0.3355
N7 0.2314 0.9044 0.0221
N8 0.3633 0.3953 0.3772
N9 0.7686 0.0956 0.9779
N10 0.1252 0.1069 0.6543
N11 0.6453 0.7500 0.9290
N12 0.6367 0.6047 0.6228
N13 0.5417 0.2500 0.6645
N14 0.2256 0.7500 0.7310
N15 0.8748 0.8931 0.3457
N16 0.3547 0.2500 0.0710
N17 0.8748 0.6069 0.3457
N18 0.1252 0.3931 0.6543
Ca1 0.9310 0.9161 0.8302
Ca2 0.0896 0.7500 0.2064
Ca3 0.9310 0.5839 0.8302
Ca4 0.0690 0.0839 0.1698
Ca5 0.9104 0.2500 0.7936
Ca6 0.2476 0.9194 0.5124
Ca7 0.4222 0.0685 0.8381
Ca8 0.4222 0.4315 0.8381
Ca9 0.0690 0.4161 0.1698
Ca10 0.7524 0.4194 0.4876
Ca11 0.5778 0.9315 0.1619
Ca12 0.2476 0.5806 0.5124
Ca13 0.7524 0.0806 0.4876
Ca14 0.5778 0.5685 0.1619
V1 0.4524 0.2500 0.2816
V2 0.5476 0.7500 0.7184
V3 0.2812 0.2500 0.5709
V4 0.7188 0.7500 0.4291
V5 0.3265 0.7500 0.9360
V6 0.6735 0.2500 0.0640
```

- Energy relative to the elements, uncorrected: -1.122 eV per atom
- SG: P2_1/m, No. 11
- N(E_F): 0.047 states/eV per atom
- V: 548.64 Å³/cell

# 4
## Ca2VN (GGA-PBE)

Data for an optimized crystal structure of Ca2VN.

Geometry as CIF:
```
data_Ca2VN
_chemical_formula_sum 'Ca4 V2 N2'
_space_group_name_H-M_alt 'P 1'
_space_group_IT_number 1
_space_group_name_Hall 'P 1'
_cell_length_a 9.8412
_cell_length_b 9.8412
_cell_length_c 7.2200
_cell_angle_alpha 47.04
_cell_angle_beta 47.04
_cell_angle_gamma 90.00
loop_
_atom_site_label
_atom_site_fract_x
_atom_site_fract_y
_atom_site_fract_z
Ca1 0.3750 0.5508 0.7500
Ca2 0.4492 0.1250 0.2500
Ca3 0.3008 0.6250 0.2500
Ca4 0.8750 0.6992 0.7500
N1 0.5000 0.5000 0.0000
N2 0.2500 0.7500 0.5000
V1 0.0000 0.0000 0.0000
V2 0.7500 0.2500 0.5000
```

- Energy relative to the elements, uncorrected: -0.288 eV per atom
- SG: I-42d, No. 122
- N(E_F): 0.674 states/eV per atom
- V: 186.41 Å³/cell

# 5
## CaV2N (GGA-PBE)

Data for an optimized crystal structure of CaV2N.

Geometry as CIF:
```
data_CaV2N
_chemical_formula_sum 'Ca2 V4 N2'
_space_group_name_H-M_alt 'P 1'
_space_group_IT_number 1
_space_group_name_Hall 'P 1'
_cell_length_a 6.0253
_cell_length_b 6.0253
_cell_length_c 6.0250
_cell_angle_alpha 60.00
_cell_angle_beta 60.00
_cell_angle_gamma 90.00
loop_
_atom_site_label
_atom_site_fract_x
_atom_site_fract_y
_atom_site_fract_z
N1 0.5000 0.5000 0.0000
N2 0.2500 0.7500 0.5000
Ca1 0.0000 0.0000 0.0000
Ca2 0.7500 0.2500 0.5000
V1 0.3750 0.6252 0.7500
V2 0.3748 0.1250 0.2500
V3 0.3752 0.6250 0.2500
V4 0.8750 0.6248 0.7500
```

- Energy relative to the elements, uncorrected: -0.133 eV per atom
- SG: Fd-3m, No. 227
- N(E_F): 0.827 states/eV per atom
- V: 154.66 Å³/cell

# 6
## CaVWN2 (GGA-PBE)

Data for an optimized crystal structure of CaVWN2.

Geometry as CIF:
```
data_CaVWN2
_chemical_formula_sum 'Ca1 V1 W1 N2'
_space_group_name_H-M_alt 'P 1'
_space_group_IT_number 1
_space_group_name_Hall 'P 1'
_cell_length_a 4.0680
_cell_length_b 5.3176
_cell_length_c 4.0680
_cell_angle_alpha 90.00
_cell_angle_beta 90.00
_cell_angle_gamma 90.00
loop_
_atom_site_label
_atom_site_fract_x
_atom_site_fract_y
_atom_site_fract_z
N1 0.5000 0.0000 0.0000
N2 0.0000 0.0000 0.5000
W1 0.0000 0.5000 0.0000
Ca1 0.0000 0.0000 0.0000
V1 0.5000 0.5000 0.5000
```

- Energy relative to the elements, uncorrected: 2.802 eV per atom
- SG: P4/mmm, No. 123
- N(E_F): 1.992 states/eV per atom
- V: 88.00 Å³/cell

Number 1: total magnetization 0.000 μB per atom. Number 2: total magnetization 0.289 μB per atom. Number 3: total magnetization 0.000 μB per atom. Number 4: total magnetization 0.563 μB per atom. Number 5: total magnetization 0.000 μB per atom. Number 6: total magnetization 0.168 μB per atom.